Material: CrTe3Pt
Method: DFT, meta-GGA SCAN
State: single point on PBEsol structure

Properties
N(E_F) = 4.76 states/eV per cell
Formation energy from raw total energies = 0.7981 eV per atom

Cell lengths 4.912, 4.912, 4.912 Å; angles 90.00, 90.00, 90.00 degrees
Space group Pm-3m (No. 221)
One atom of each set of equivalent atoms:
Cr1 0.000 0.000 0.000 x1
Te1 0.000 0.000 0.500 x3
Pt1 0.500 0.500 0.500 x1